1.
{"formula": "LiGeBr2", "functional": "PBE", "state": "optimized geometry", "raw_formation_energy_ev_per_atom": -0.533, "total_magnetization_mub_per_atom": 0.250, "cell": [[-3.648, 3.648, 3.997], [3.648, -3.648, 3.997], [3.648, 3.648, -3.997]], "species": ["Li", "Li", "Ge", "Ge", "Br", "Br", "Br", "Br"], "fractional_positions": [[0.000, 0.000, 0.000], [0.750, 0.250, 0.500], [0.250, 0.750, 0.500], [0.500, 0.500, 0.000], [0.090, 0.125, 0.465], [0.375, 0.910, 0.035], [0.660, 0.625, 0.535], [0.875, 0.340, 0.965]]}

=====

2.
{"formula": "La2NpGeN5", "functional": "PBE", "state": "optimized geometry", "raw_formation_energy_ev_per_atom": -0.941, "total_magnetization_mub_per_atom": 0.206, "cell": [[1.741, -7.193, 0.000], [1.741, 7.193, 0.000], [0.000, 0.000, 10.779]], "species": ["La", "La", "La", "La", "Np", "Np", "Ge", "Ge", "N", "N", "N", "N", "N", "N", "N", "N", "N", "N"], "fractional_positions": [[0.108, 0.892, 0.500], [0.135, 0.865, 0.143], [0.865, 0.135, 0.643], [0.892, 0.108, 0.000], [0.201, 0.799, 0.847], [0.799, 0.201, 0.347], [0.454, 0.546, 0.256], [0.546, 0.454, 0.756], [0.040, 0.960, 0.846], [0.286, 0.714, 0.477], [0.320, 0.680, 0.210], [0.344, 0.656, 0.830], [0.490, 0.510, 0.604], [0.510, 0.490, 0.104], [0.656, 0.344, 0.330], [0.680, 0.320, 0.710], [0.714, 0.286, 0.977], [0.960, 0.040, 0.346]]}